# LiZn2In

An optimized crystal structure of LiZn2In (PBEsol, the Alexandria database).

```
LiZn2In
1.0
-2.960 -3.199 -1.208
1.085 -2.984 -3.220
0.771 -4.321 1.088
Li Zn In
1 2 1
direct
0.250 0.250 0.250 Li
0.750 0.750 0.750 Zn
0.000 0.000 0.000 Zn
0.500 0.500 0.500 In
```

Values from the calculation:
* energy of formation: -9.7 kJ/mol of atoms
* M_tot: 0.00 μB/cell
* calculated volume: 65.4 Å³ per cell


# Li3ZnIn

An optimized crystal structure of Li3ZnIn (PBEsol, the Alexandria database).

```
Li3ZnIn
1.0
-4.339 1.284 1.094
-0.188 -3.368 3.208
1.676 2.946 3.191
Li Zn In
3 1 1
direct
0.000 0.500 0.000 Li
0.500 0.000 0.000 Li
0.000 0.000 0.500 Li
0.000 0.000 0.000 Zn
0.500 0.500 0.500 In
```

Values from the calculation:
* energy of formation: 11.8 kJ/mol of atoms
* M_tot: 0.00 μB/cell
* calculated volume: 100.9 Å³ per cell


# LiZrIn2

An optimized crystal structure of LiZrIn2 (PBEsol, the Alexandria database).

```
LiZrIn2
1.0
-0.534 -0.800 2.880
0.565 -3.987 -2.603
5.981 0.856 1.348
In Zr Li
2 1 1
direct
0.747 0.495 0.727 In
0.253 0.505 0.273 In
0.500 0.000 0.000 Zr
0.000 0.000 0.500 Li
```

Values from the calculation:
* energy of formation: -11.9 kJ/mol of atoms
* M_tot: 0.00 μB/cell
* calculated volume: 84.8 Å³ per cell


# LiZrIn2

An optimized crystal structure of LiZrIn2 (PBEsol, the Alexandria database).

```
LiZrIn2
1.0
-1.248 2.453 -1.724
-3.141 -3.222 -2.313
-3.457 0.778 3.610
In Li Zr
2 1 1
direct
0.000 0.500 0.625 In
0.000 0.000 0.125 In
0.500 0.000 0.625 Li
0.500 0.500 0.125 Zr
```

Values from the calculation:
* energy of formation: -30.6 kJ/mol of atoms
* M_tot: 0.01 μB/cell
* calculated volume: 83.1 Å³ per cell


# LiZrIn2

An optimized crystal structure of LiZrIn2 (PBEsol, the Alexandria database).

```
LiZrIn2
1.0
-0.447 2.710 1.279
-1.857 -2.376 4.384
5.235 0.476 0.822
In Zr Li
2 1 1
direct
0.000 0.500 0.000 In
0.000 0.000 0.500 In
0.500 0.000 0.000 Zr
0.500 0.500 0.500 Li
```

Values from the calculation:
* energy of formation: -32.0 kJ/mol of atoms
* M_tot: 0.00 μB/cell
* calculated volume: 82.9 Å³ per cell


# LiZrIn2

An optimized crystal structure of LiZrIn2 (PBEsol, the Alexandria database).

```
LiZrIn2
1.0
3.235 0.000 0.000
0.000 3.235 0.000
0.000 0.000 7.446
Zr Li In
1 1 2
direct
0.500 0.500 0.500 Zr
0.500 0.500 0.000 Li
0.000 0.000 0.221 In
0.000 0.000 0.779 In
```

Values from the calculation:
* energy of formation: -34.8 kJ/mol of atoms
* M_tot: 0.00 μB/cell
* calculated volume: 77.9 Å³ per cell


# LuIn2

An optimized crystal structure of LuIn2 (PBEsol, the Alexandria database).

```
LuIn2
1.0
-3.917 -0.928 -1.961
2.176 -2.142 -3.332
1.580 -5.451 4.536
In Lu
4 2
direct
0.500 0.500 0.000 In
0.824 0.500 0.649 In
0.176 0.500 0.351 In
0.000 0.000 0.000 In
0.656 0.000 0.313 Lu
0.344 0.000 0.687 Lu
```

Values from the calculation:
* energy of formation: -42.1 kJ/mol of atoms
* M_tot: 0.00 μB/cell
* calculated volume: 139.9 Å³ per cell


# NdLuIn2

An optimized crystal structure of NdLuIn2 (PBEsol, the Alexandria database).

```
NdLuIn2
1.0
-3.204 -0.369 4.152
0.644 -3.888 3.480
1.811 1.060 4.821
Lu In Nd
1 2 1
direct
0.500 0.500 0.500 Lu
0.750 0.750 0.750 In
0.250 0.250 0.250 In
0.000 0.000 0.000 Nd
```

Values from the calculation:
* energy of formation: -46.9 kJ/mol of atoms
* M_tot: 0.00 μB/cell
* calculated volume: 102.8 Å³ per cell


# LuInNi2

An optimized crystal structure of LuInNi2 (PBEsol, the Alexandria database).

```
LuInNi2
1.0
4.459 0.000 0.000
2.229 3.862 0.000
2.229 1.287 3.641
Ni Lu In
2 1 1
direct
0.750 0.750 0.750 Ni
0.250 0.250 0.250 Ni
0.000 0.000 0.000 Lu
0.500 0.500 0.500 In
```

Values from the calculation:
* energy of formation: -43.6 kJ/mol of atoms
* M_tot: 0.00 μB/cell
* calculated volume: 62.7 Å³ per cell


# LuInNi

An optimized crystal structure of LuInNi (PBEsol, the Alexandria database).

```
LuInNi
1.0
-1.505 -2.840 1.813
-2.153 -2.859 -6.266
6.470 -1.700 2.708
In Ni Lu
3 3 3
direct
0.000 0.000 0.257 In
0.000 0.743 0.743 In
0.000 0.257 0.000 In
0.000 0.667 0.333 Ni
0.500 0.000 0.000 Ni
0.000 0.333 0.667 Ni
0.500 0.000 0.590 Lu
0.500 0.590 0.000 Lu
0.500 0.410 0.410 Lu
```

Values from the calculation:
* energy of formation: -52.6 kJ/mol of atoms
* M_tot: 0.00 μB/cell
* calculated volume: 166.4 Å³ per cell


# LuInNi4

An optimized crystal structure of LuInNi4 (PBEsol, the Alexandria database).

```
LuInNi4
1.0
4.863 0.000 0.000
2.432 4.212 0.000
2.432 1.404 3.971
In Ni Lu
1 4 1
direct
0.000 0.000 0.000 In
0.374 0.374 0.374 Ni
0.877 0.374 0.374 Ni
0.374 0.374 0.877 Ni
0.374 0.877 0.374 Ni
0.750 0.750 0.750 Lu
```

Values from the calculation:
* energy of formation: -43.1 kJ/mol of atoms
* M_tot: 0.00 μB/cell
* calculated volume: 81.3 Å³ per cell


# Lu2InPd2

An optimized crystal structure of Lu2InPd2 (PBEsol, the Alexandria database).

```
Lu2InPd2
1.0
3.549 0.000 0.000
0.000 7.526 0.000
0.000 0.000 7.526
Lu Pd In
4 4 2
direct
0.500 0.829 0.671 Lu
0.500 0.671 0.171 Lu
0.500 0.171 0.329 Lu
0.500 0.329 0.829 Lu
0.000 0.371 0.129 Pd
0.000 0.871 0.371 Pd
0.000 0.129 0.629 Pd
0.000 0.629 0.871 Pd
0.000 0.000 0.000 In
0.000 0.500 0.500 In
```

Values from the calculation:
* energy of formation: -86.9 kJ/mol of atoms
* M_tot: 0.00 μB/cell
* calculated volume: 201.0 Å³ per cell